Material: Sr2ScTePt
Method: DFT, PBE
State: optimized geometry

Geometry as POSCAR:
```
Sr2ScTePt
1.0
-3.339 3.525 -3.391
-0.264 -3.596 -3.478
-4.881 -2.139 2.582
Sr Pt Sc Te
2 1 1 1
Direct
0.000 0.000 0.500
0.500 0.000 0.000
0.000 0.000 0.000
0.000 0.500 0.000
0.500 0.500 0.500
```

Calculated values
**Formation energy without anion corrections**: -3.5 eV/f.u.